Material: RbZnInRh2
Method: DFT, SCAN
State: PBEsol geometry

Results
Its volume is 143.80 Å³/f.u. The space group is P4/mmm. As for the size of the total moment: 0.984 μB per formula unit. The formation energy is 1.115 eV/atom.

Unit cell a=4.9280 b=4.9280 c=5.9215 alpha=90.00 beta=90.00 gamma=90.00
Fractional positions:
Zn 0.5000 0.5000 0.5000
Rh 0.0000 0.5000 0.0000
Rh 0.5000 0.0000 0.0000
Rb 0.0000 0.0000 0.5000
In 0.0000 0.0000 0.0000



Material: RbInS2
Method: DFT, SCAN
State: PBEsol geometry

Results
Its volume is 117.54 Å³/f.u. The space group is I-42d. As for the size of the total moment: 0.000 μB per formula unit. Its formation energy without anion corrections is -1084 meV/atom.

Unit cell a=6.7765 b=6.7765 c=6.7765 alpha=79.68 beta=65.77 gamma=114.23
Fractional positions:
S 0.0832 0.1250 0.2918
S 0.9168 0.6250 0.9582
S 0.4168 0.2918 0.6250
S 0.5832 0.9582 0.1250
Rb 0.0000 0.5000 0.5000
Rb 0.5000 0.7500 0.7500
In 0.0000 0.0000 0.0000
In 0.5000 0.2500 0.2500